Record 1
Li2NiIO4 | PBE with a Hubbard U | relaxed

a = 5.345 Å, b = 5.345 Å, c = 5.341 Å
α = 129.95°, β = 129.95°, γ = 73.48°
Fractional positions:
Li 0.548 0.049 0.097
Li 0.298 0.299 0.597
Ni 0.049 0.549 0.097
I 0.798 0.798 0.597
O 0.552 0.551 0.596
O 0.808 0.309 0.098
O 0.289 0.788 0.096
O 0.045 0.044 0.597

Space group = No. 5
Calculated total energy = -35.7 eV/cell

Record 2
Li2Ni2IO6 | PBE with a Hubbard U | relaxed

a = 5.261 Å, b = 5.261 Å, c = 5.281 Å
α = 99.98°, β = 99.98°, γ = 119.18°
Fractional positions:
Li 0.819 0.181 0.000
Li 0.181 0.819 0.000
Ni 0.336 0.664 0.500
Ni 0.664 0.336 0.500
I 0.000 0.000 0.500
O 0.760 0.760 0.723
O 0.062 0.395 0.724
O 0.240 0.240 0.277
O 0.395 0.062 0.724
O 0.938 0.605 0.276
O 0.605 0.938 0.276

Space group = No. 12
Calculated total energy = -51.8 eV/cell

Record 3
LiNiIO2 | PBE with a Hubbard U | relaxed

a = 3.661 Å, b = 7.095 Å, c = 3.661 Å
α = 90.00°, β = 90.00°, γ = 90.00°
Fractional positions:
I 0.500 0.500 0.500
Ni 0.000 0.000 0.000
O 0.000 0.000 0.500
O 0.500 0.000 0.000
Li 0.000 0.500 0.000

Energy above the lowest structure with this stoichiometry = 0.003 eV per atom
Space group = No. 123

Record 4
LiNiIO2 | PBE with a Hubbard U | relaxed

a = 3.844 Å, b = 3.844 Å, c = 5.587 Å
α = 90.00°, β = 90.00°, γ = 90.00°
Fractional positions:
I 0.000 0.000 0.500
Ni 0.500 0.500 0.500
O 0.000 0.500 0.000
O 0.500 0.000 0.000
Li 0.000 0.000 0.000

Energy above the lowest structure with this stoichiometry = 0.455 eV per atom
Space group = No. 123

Record 5
LiNiIO4 | PBE with a Hubbard U | relaxed

a = 6.166 Å, b = 6.047 Å, c = 6.047 Å
α = 67.07°, β = 59.35°, γ = 59.35°
Fractional positions:
Li 0.000 0.000 0.000
Li 0.000 0.500 0.500
Ni 0.500 0.000 0.500
Ni 0.000 0.000 0.500
I 0.667 0.583 0.083
I 0.333 0.417 0.917
O 0.748 0.798 0.706
O 0.252 0.794 0.702
O 0.748 0.206 0.298
O 0.252 0.202 0.294
O 0.281 0.727 0.227
O 0.765 0.727 0.227
O 0.235 0.273 0.773
O 0.719 0.273 0.773

Space group = No. 74
Calculated total energy = -63.5 eV/cell

Record 6
Li2NiIO6 | PBE with a Hubbard U | relaxed

a = 5.407 Å, b = 5.407 Å, c = 5.407 Å
α = 56.67°, β = 56.67°, γ = 56.67°
Fractional positions:
Li 0.218 0.218 0.218
Li 0.707 0.707 0.707
Ni 0.500 0.500 0.500
I 0.005 0.005 0.005
O 0.376 0.110 0.789
O 0.110 0.789 0.376
O 0.898 0.260 0.637
O 0.637 0.898 0.260
O 0.789 0.376 0.110
O 0.260 0.637 0.898

Space group = No. 146
Calculated total energy = -47.0 eV/cell

Number 1: M_tot 2.0 μB per cell. Number 2: M_tot 5.0 μB per cell. Number 3: M_tot 1.9 μB per cell. Number 4: M_tot 4.0 μB per cell. Number 5: M_tot 4.0 μB per cell. Number 6: M_tot 0.9 μB per cell.